Compound: KTePPd2
Source: Alexandria via LeMat-Bulk
Functional: PBE
Structure: relaxed

## Properties
The formation energy (no corrections) is -172 meV/atom. As for the space group: P4/mmm. The total magnetization is 0.0 μB/f.u.

abc: 4.6430 5.6448 4.6430
angles: 90.00 90.00 90.00
Sites, in units of the cell vectors:
K 0.5000 0.5000 0.5000
Pd 0.0000 0.0000 0.5000
Pd 0.5000 0.0000 0.0000
P 0.0000 0.0000 0.0000
Te 0.0000 0.5000 0.0000